Crystalline CrGaPdAu at its relaxed geometry, computed with PBE.

**SG**: F-43m
**Crystal system**: cubic
**Energy relative to the elements**: -0.58 eV/f.u.
**Magnetic moment**: 3.67 μB per formula unit

Cell lengths 4.4712, 4.4712, 4.4712 Å; angles 60.00, 60.00, 60.00 degrees
Closest atoms and distances in Å follow each position.
Positions (direct):
Ga1 0.2500 0.2500 0.2500  4 Au 2.74, 4 Pd 2.74
Cr1 0.7500 0.7500 0.7500  4 Pd 2.74, 4 Au 2.74
Au1 0.5000 0.5000 0.5000  4 Ga 2.74, 4 Cr 2.74
Pd1 0.0000 0.0000 0.0000  4 Ga 2.74, 4 Cr 2.74

---

Crystalline CrGaPtAu at its relaxed geometry, computed with PBE.

**SG**: F-43m
**Crystal system**: cubic
**Energy relative to the elements**: -0.64 eV/f.u.
**Magnetic moment**: 3.55 μB per formula unit

Cell lengths 4.4761, 4.4761, 4.4761 Å; angles 60.00, 60.00, 60.00 degrees
Closest atoms and distances in Å follow each position.
Positions (direct):
Ga1 0.0000 0.0000 0.0000  4 Pt 2.74, 4 Au 2.74
Cr1 0.5000 0.5000 0.5000  4 Au 2.74, 4 Pt 2.74
Au1 0.2500 0.2500 0.2500  4 Cr 2.74, 4 Ga 2.74
Pt1 0.7500 0.7500 0.7500  4 Cr 2.74, 4 Ga 2.74

---

Crystalline Rb2CrGaAu at its relaxed geometry, computed with PBE.

**SG**: P4/mmm
**Crystal system**: tetragonal
**Energy relative to the elements**: 2.48 eV/f.u.
**Magnetic moment**: 4.92 μB per formula unit

Cell lengths 6.6653, 4.9090, 6.6653 Å; angles 90.00, 90.00, 90.00 degrees
Closest atoms and distances in Å follow each position.
Positions (direct):
Cr1 0.5000 0.5000 0.5000  8 Rb 4.14
Rb1 0.5000 0.0000 0.0000  2 Au 3.33
Rb2 0.0000 0.0000 0.5000  2 Au 3.33
Au1 0.0000 0.0000 0.0000  2 Ga 2.45
Ga1 0.0000 0.5000 0.0000  2 Au 2.45

---

Crystalline CrGaSn2Au at its relaxed geometry, computed with PBE.

**SG**: P4/mmm
**Crystal system**: tetragonal
**Energy relative to the elements**: 3.44 eV/f.u.
**Magnetic moment**: 3.96 μB per formula unit

Cell lengths 5.2045, 5.2045, 4.8324 Å; angles 90.00, 90.00, 90.00 degrees
Closest atoms and distances in Å follow each position.
Positions (direct):
Au1 0.5000 0.5000 0.5000  8 Sn 3.55, 4 Cr 3.68
Cr1 0.0000 0.0000 0.5000  2 Ga 2.42
Sn1 0.0000 0.5000 0.0000  2 Ga 2.60
Sn2 0.5000 0.0000 0.0000  2 Ga 2.60
Ga1 0.0000 0.0000 0.0000  2 Cr 2.42, 4 Sn 2.60

---

Crystalline CrGaTeAu2 at its relaxed geometry, computed with PBE.

**SG**: P4/mmm
**Crystal system**: tetragonal
**Formation energy (no corrections)**: 0.529 eV per atom
**Magnetic moment**: 3.75 μB per formula unit

Cell lengths 4.8414, 4.9688, 4.8414 Å; angles 90.00, 90.00, 90.00 degrees
Closest atoms and distances in Å follow each position.
Positions (direct):
Au1 0.0000 0.0000 0.5000  2 Ga 2.42
Au2 0.5000 0.0000 0.0000  2 Ga 2.42
Cr1 0.0000 0.5000 0.0000  2 Ga 2.48
Ga1 0.0000 0.0000 0.0000  4 Au 2.42, 2 Cr 2.48
Te1 0.5000 0.5000 0.5000  4 Cr 3.42, 8 Au 3.47

---

Crystalline CrGa2Te6Au at its relaxed geometry, computed with PBE.

**SG**: C2/c
**Crystal system**: monoclinic
**Formation energy (no corrections)**: -0.130 eV per atom
**Magnetic moment**: 2.63 μB per formula unit

Cell lengths 7.2909, 9.1156, 9.1156 Å; angles 86.48, 79.88, 79.88 degrees
Closest atoms and distances in Å follow each position.
Positions (direct):
Ga1 0.7088 0.5860 0.7756  4 Te 2.66-2.74
Ga2 0.7912 0.2244 0.4140  4 Te 2.66-2.74
Ga3 0.2912 0.4140 0.2244  4 Te 2.66-2.74
Ga4 0.2088 0.7756 0.5860  4 Te 2.66-2.74
Cr1 0.7500 0.0851 0.9149  6 Te 2.73-2.78
Cr2 0.2500 0.9149 0.0851  6 Te 2.73-2.78
Te1 0.3812 0.1852 0.0297  2 Cr 2.73-2.78, 1 Ga 2.74, 1 Au 2.91
Te2 0.8838 0.3505 0.9153  1 Ga 2.67, 1 Cr 2.76, 1 Au 2.86
Te3 0.3853 0.5329 0.7117  2 Ga 2.66, 1 Au 2.87
Te4 0.6188 0.8148 0.9703  2 Cr 2.73-2.78, 1 Ga 2.74, 1 Au 2.91
Te5 0.1147 0.2883 0.4671  2 Ga 2.66, 1 Au 2.87
Te6 0.8853 0.7117 0.5329  2 Ga 2.66, 1 Au 2.87
Te7 0.1162 0.6495 0.0847  1 Ga 2.67, 1 Cr 2.76, 1 Au 2.86
Te8 0.6162 0.0847 0.6495  1 Ga 2.67, 1 Cr 2.76, 1 Au 2.86
Te9 0.8812 0.0297 0.1852  2 Cr 2.73-2.78, 1 Ga 2.74, 1 Au 2.91
Te10 0.6147 0.4671 0.2883  2 Ga 2.66, 1 Au 2.87
Te11 0.1188 0.9703 0.8148  2 Cr 2.73-2.78, 1 Ga 2.74, 1 Au 2.91
Te12 0.3838 0.9153 0.3505  1 Ga 2.67, 1 Cr 2.76, 1 Au 2.86
Au1 0.7500 0.7462 0.2538  6 Te 2.86-2.91
Au2 0.2500 0.2538 0.7462  6 Te 2.86-2.91

---

no.,D(E_F) (states/eV/cell)
1,2.2
2,2.4
3,3.0
4,2.3
5,4.4
6,8.9